[1]
# PBE-GGA NaTl2SbPb, relaxed
data_NaTl2SbPb
_chemical_formula_sum 'Na1 Tl2 Sb1 Pb1'
_cell_length_a 5.885
_cell_length_b 5.885
_cell_length_c 5.597
_cell_angle_alpha 90.00
_cell_angle_beta 90.00
_cell_angle_gamma 90.00
_space_group_name_H-M_alt 'P 4/m m m'
_space_group_IT_number 123
_space_group_name_Hall '-P 4 2'
loop_
_atom_site_label
_atom_site_type_symbol
_atom_site_fract_x
_atom_site_fract_y
_atom_site_fract_z
Na1 Na 0.000 0.000 0.000
Tl1 Tl 0.000 0.500 0.500
Sb1 Sb 0.000 0.000 0.500
Pb1 Pb 0.500 0.500 0.000
# uncorrected formation energy: 0.338 eV/atom
# raw total energy: -2.44 eV per atom
# offset from the most stable computed form: 0.331 eV per atom

[2]
# PBE-GGA NaTlSbPb, relaxed
data_NaTlSbPb
_chemical_formula_sum 'Na4 Tl4 Sb4 Pb4'
_cell_length_a 7.801
_cell_length_b 7.801
_cell_length_c 7.801
_cell_angle_alpha 90.00
_cell_angle_beta 90.00
_cell_angle_gamma 90.00
_space_group_name_H-M_alt 'F -4 3 m'
_space_group_IT_number 216
_space_group_name_Hall 'F -4 2 3'
loop_
_atom_site_label
_atom_site_type_symbol
_atom_site_fract_x
_atom_site_fract_y
_atom_site_fract_z
Na1 Na 0.000 0.000 0.000
Tl1 Tl 0.250 0.250 0.250
Sb1 Sb 0.250 0.250 0.750
Pb1 Pb 0.000 0.000 0.500
# uncorrected formation energy: -0.086 eV/atom
# raw total energy: -2.97 eV per atom